[1]
First-principles (PBE) data for a geometry-optimized TlSb5 structure, as listed in the Alexandria database.

Results
As for the total magnetic moment: 0.0 μB/f.u. As for the energy relative to the elements, uncorrected: 0.132 eV/atom. The energy relative to the lowest polymorph listed for this composition is 0.011 eV/atom. The calculation puts the final energy at -3.70 eV per atom. Its crystal system is orthorhombic.

Cell: 4.047 5.088 18.651 Å, 90.00 90.00 90.00°
Space group Amm2 (No. 38)
One atom of each set of equivalent atoms:
Tl  0.000  0.000  0.000 x2
Sb  0.000  0.000  0.361 x2
Sb  0.000  0.000  0.666 x2
Sb  0.500  0.000  0.241 x2
Sb  0.500  0.000  0.558 x2
Sb  0.500  0.000  0.838 x2


[2]
First-principles (PBE) data for a geometry-optimized TlSb3 structure, as listed in the Alexandria database.

Results
As for the total magnetic moment: 0.0 μB/f.u. As for the energy relative to the elements, uncorrected: 0.099 eV/atom. The energy relative to the lowest polymorph listed for this composition is 0.038 eV/atom. The calculation puts the final energy at -3.58 eV per atom. Its crystal system is orthorhombic.

Cell: 9.327 9.119 6.047 Å, 90.00 90.00 90.00°
Space group Cmcm (No. 63)
One atom of each set of equivalent atoms:
Tl  0.000  0.079  0.250 x4
Sb  0.000  0.462  0.750 x4
Sb  0.215  0.230  0.750 x8


[3]
First-principles (PBE) data for a geometry-optimized Tl3Sb2 structure, as listed in the Alexandria database.

Results
As for the total magnetic moment: 0.0 μB/f.u. As for the energy relative to the elements, uncorrected: 0.028 eV/atom. The energy relative to the lowest polymorph listed for this composition is 0.000 eV/atom. The calculation puts the final energy at -3.04 eV per atom. Its crystal system is trigonal.

Cell: 8.5028 8.5028 16.4818 Å, 90.00 90.00 120.00°
Space group R-3c (No. 167, hexagonal axes)
One atom of each set of equivalent atoms:
Tl  0.0000  0.2555  0.2500 x18
Sb  0.0000  0.0000  0.0886 x12


[4]
First-principles (PBE) data for a geometry-optimized Tl5Sb4 structure, as listed in the Alexandria database.

Results
As for the total magnetic moment: 0.0 μB/f.u. As for the energy relative to the elements, uncorrected: 0.026 eV/atom. The energy relative to the lowest polymorph listed for this composition is 0.000 eV/atom. The calculation puts the final energy at -3.12 eV per atom. Its crystal system is monoclinic.

Cell: 12.179 5.606 10.237 Å, 90.00 124.95 90.00°
Space group C2/m (No. 12)
One atom of each set of equivalent atoms:
Tl  0.000  0.000  0.000 x2
Tl  0.153  0.500  0.873 x4
Tl  0.176  0.500  0.541 x4
Sb  0.036  0.000  0.664 x4
Sb  0.183  0.500  0.214 x4